# Ho3Tl GGA-PBE relaxed
data_Ho3Tl
_chemical_formula_sum 'Ho6 Tl2'
_cell_length_a 5.4945
_cell_length_b 6.6312
_cell_length_c 6.2227
_cell_angle_alpha 90.00
_cell_angle_beta 90.00
_cell_angle_gamma 90.00
_symmetry_space_group_name_H-M 'P m m n'
_symmetry_Int_Tables_number 59
loop_
_symmetry_equiv_pos_as_xyz
'x,y,z'
'-x,-y,-z'
'-x+1/2,-y+1/2,z'
'x+1/2,y+1/2,-z'
'x+1/2,-y,-z'
'-x+1/2,y,z'
'-x,y+1/2,-z'
'x,-y+1/2,z'
loop_
_atom_site_label
_atom_site_type_symbol
_atom_site_fract_x
_atom_site_fract_y
_atom_site_fract_z
Ho1 Ho 0.2500 0.0044 0.1418
Ho2 Ho 0.2500 0.2500 0.6283
Tl1 Tl 0.2500 0.7500 0.6587
# Volume in Å³ per cell: 226.73
# Formation energy in eV/atom: -0.146
# Total magnetization in μB per formula unit: 0.000
# Uncorrected energy in eV/cell: -33.37



# CaIn6Sn5 GGA-PBE relaxed
data_CaIn6Sn5
_chemical_formula_sum 'Ca2 In12 Sn10'
_cell_length_a 10.8710
_cell_length_b 14.1418
_cell_length_c 4.7184
_cell_angle_alpha 90.00
_cell_angle_beta 115.26
_cell_angle_gamma 90.00
_symmetry_space_group_name_H-M 'C 1 2/m 1'
_symmetry_Int_Tables_number 12
loop_
_symmetry_equiv_pos_as_xyz
'x,y,z'
'-x,-y,-z'
'-x,y,-z'
'x,-y,z'
'x+1/2,y+1/2,z'
'-x+1/2,-y+1/2,-z'
'-x+1/2,y+1/2,-z'
'x+1/2,-y+1/2,z'
loop_
_atom_site_label
_atom_site_type_symbol
_atom_site_fract_x
_atom_site_fract_y
_atom_site_fract_z
Ca1 Ca 0.0000 0.0000 0.0000
In1 In 0.2467 0.5000 0.2485
In2 In 0.2484 0.1681 0.2471
Sn1 Sn 0.0000 0.1756 0.5000
Sn2 Sn 0.0000 0.3382 0.0000
Sn3 Sn 0.0000 0.5000 0.5000
# Volume in Å³ per cell: 656.00
# Formation energy in eV/atom: -0.075
# Total magnetization in μB per formula unit: 0.000
# Uncorrected energy in eV/cell: -78.70



# Ac3Sm12Ho GGA-PBE relaxed
data_Ac3Sm12Ho
_chemical_formula_sum 'Ac3 Sm12 Ho1'
_cell_length_a 5.2149
_cell_length_b 5.2149
_cell_length_c 20.8494
_cell_angle_alpha 90.00
_cell_angle_beta 90.00
_cell_angle_gamma 90.00
_symmetry_space_group_name_H-M 'P 4/m m m'
_symmetry_Int_Tables_number 123
_symmetry_space_group_name_Hall '-P 4 2'
loop_
_atom_site_label
_atom_site_type_symbol
_atom_site_fract_x
_atom_site_fract_y
_atom_site_fract_z
Ac1 Ac 0.0000 0.0000 0.0000
Ac2 Ac 0.0000 0.0000 0.2528
Sm1 Sm 0.0000 0.5000 0.1265
Sm2 Sm 0.0000 0.5000 0.3805
Sm3 Sm 0.5000 0.5000 0.0000
Sm4 Sm 0.5000 0.5000 0.2538
Sm5 Sm 0.5000 0.5000 0.5000
Ho1 Ho 0.0000 0.0000 0.5000
# Volume in Å³ per cell: 567.00
# Formation energy in eV/atom: 0.034
# Total magnetization in μB per formula unit: 0.000
# Uncorrected energy in eV/cell: -72.99



# Sr2ZrBe2O6 GGA-PBE relaxed
data_Sr2ZrBe2O6
_chemical_formula_sum 'Sr6 Zr3 Be6 O18'
_cell_length_a 5.4899
_cell_length_b 5.4899
_cell_length_c 16.3110
_cell_angle_alpha 90.00
_cell_angle_beta 90.00
_cell_angle_gamma 120.00
_symmetry_space_group_name_H-M 'R -3 m'
_symmetry_Int_Tables_number 166
_symmetry_space_group_name_Hall '-R 3 2"'
loop_
_atom_site_label
_atom_site_type_symbol
_atom_site_fract_x
_atom_site_fract_y
_atom_site_fract_z
Sr1 Sr 0.0000 0.0000 0.2158
Zr1 Zr 0.0000 0.0000 0.0000
Be1 Be 0.0000 0.0000 0.4178
O1 O 0.0100 0.5050 0.2511
# Volume in Å³ per cell: 425.74
# Uncorrected formation energy in kJ/mol of formula units: -3087.4
# Total magnetization in μB per formula unit: 0.000
# Uncorrected energy in eV/cell: -243.34



# K3Rb2Na7 GGA-PBE relaxed
data_K3Rb2Na7
_chemical_formula_sum 'K9 Rb6 Na21'
_cell_length_a 7.8750
_cell_length_b 7.8750
_cell_length_c 36.4410
_cell_angle_alpha 90.00
_cell_angle_beta 90.00
_cell_angle_gamma 120.00
_symmetry_space_group_name_H-M 'R -3 m'
_symmetry_Int_Tables_number 166
_symmetry_space_group_name_Hall '-R 3 2"'
loop_
_atom_site_label
_atom_site_type_symbol
_atom_site_fract_x
_atom_site_fract_y
_atom_site_fract_z
K1 K 0.0000 0.0000 0.0000
K2 K 0.0000 0.0000 0.1361
Rb1 Rb 0.0000 0.0000 0.3361
Na1 Na 0.0000 0.0000 0.5000
Na2 Na 0.0137 0.5069 0.9049
# Volume in Å³ per cell: 1957.13
# Energy above the lowest structure with this stoichiometry in meV per atom: 0.0
# Formation energy in eV/atom: 0.044
# Total magnetization in μB per formula unit: 0.000
# Uncorrected energy in eV/cell: -41.78



# Tm5Zn2Au GGA-PBE relaxed
data_Tm5Zn2Au
_chemical_formula_sum 'Tm20 Zn8 Au4'
_cell_length_a 7.1957
_cell_length_b 7.1957
_cell_length_c 15.1190
_cell_angle_alpha 90.00
_cell_angle_beta 90.00
_cell_angle_gamma 90.00
_symmetry_space_group_name_H-M 'I 4/m c m'
_symmetry_Int_Tables_number 140
_symmetry_space_group_name_Hall '-I 4 2c'
loop_
_atom_site_label
_atom_site_type_symbol
_atom_site_fract_x
_atom_site_fract_y
_atom_site_fract_z
Tm1 Tm 0.0000 0.0000 0.0000
Tm2 Tm 0.1695 0.3305 0.1514
Zn1 Zn 0.1228 0.3772 0.5000
Au1 Au 0.0000 0.0000 0.2500
# Volume in Å³ per cell: 782.84
# Formation energy in eV/atom: -0.391
# Total magnetization in μB per formula unit: 0.000
# Uncorrected energy in eV/cell: -125.24



# PrSm2Ag6 GGA-PBE relaxed
data_PrSm2Ag6
_chemical_formula_sum 'Pr2 Sm4 Ag12'
_cell_length_a 3.6182
_cell_length_b 8.0445
_cell_length_c 14.8715
_cell_angle_alpha 90.00
_cell_angle_beta 90.00
_cell_angle_gamma 90.00
_symmetry_space_group_name_H-M 'I m m m'
_symmetry_Int_Tables_number 71
_symmetry_space_group_name_Hall '-I 2 2'
loop_
_atom_site_label
_atom_site_type_symbol
_atom_site_fract_x
_atom_site_fract_y
_atom_site_fract_z
Pr1 Pr 0.0000 0.0000 0.0000
Sm1 Sm 0.0000 0.5000 0.1411
Ag1 Ag 0.0000 0.1792 0.5000
Ag2 Ag 0.0000 0.3198 0.3243
# Volume in Å³ per cell: 432.86
# Energy above the lowest structure with this stoichiometry in meV per atom: 63.5
# Formation energy in eV/atom: -0.192
# Total magnetization in μB per formula unit: 0.000
# Uncorrected energy in eV/cell: -66.11



# BePbAu2 GGA-PBE relaxed
data_BePbAu2
_chemical_formula_sum 'Be2 Pb2 Au4'
_cell_length_a 6.6561
_cell_length_b 3.8522
_cell_length_c 6.6646
_cell_angle_alpha 90.00
_cell_angle_beta 109.11
_cell_angle_gamma 90.00
_symmetry_space_group_name_H-M 'C 1 2/m 1'
_symmetry_Int_Tables_number 12
loop_
_symmetry_equiv_pos_as_xyz
'x,y,z'
'-x,-y,-z'
'-x,y,-z'
'x,-y,z'
'x+1/2,y+1/2,z'
'-x+1/2,-y+1/2,-z'
'-x+1/2,y+1/2,-z'
'x+1/2,-y+1/2,z'
loop_
_atom_site_label
_atom_site_type_symbol
_atom_site_fract_x
_atom_site_fract_y
_atom_site_fract_z
Be1 Be 0.0000 0.0000 0.0000
Pb1 Pb 0.0000 0.5000 0.5000
Au1 Au 0.2173 0.5000 0.1532
# Volume in Å³ per cell: 161.47
# Energy above the lowest structure with this stoichiometry in meV per atom: 0.0
# Formation energy in eV/atom: -0.023
# Total magnetization in μB per formula unit: 0.000
# Uncorrected energy in eV/cell: -28.16



# CuSnOsC GGA-PBE relaxed
data_CuSnOsC
_chemical_formula_sum 'Cu2 Sn2 Os2 C2'
_cell_length_a 3.9595
_cell_length_b 3.8694
_cell_length_c 9.2421
_cell_angle_alpha 90.00
_cell_angle_beta 90.00
_cell_angle_gamma 90.00
_symmetry_space_group_name_H-M 'A m m 2'
_symmetry_Int_Tables_number 38
loop_
_symmetry_equiv_pos_as_xyz
'x,y,z'
'-x,-y,z'
'-x,y,z'
'x,-y,z'
'x,y+1/2,z+1/2'
'-x,-y+1/2,z+1/2'
'-x,y+1/2,z+1/2'
'x,-y+1/2,z+1/2'
loop_
_atom_site_label
_atom_site_type_symbol
_atom_site_fract_x
_atom_site_fract_y
_atom_site_fract_z
Cu1 Cu 0.0000 0.0000 0.0000
Sn1 Sn 0.5000 0.0000 0.2202
Os1 Os 0.5000 0.0000 0.5116
C1 C 0.0000 0.0000 0.5082
# Volume in Å³ per cell: 141.59
# Energy above the lowest structure with this stoichiometry in meV per atom: 232.6
# Formation energy in eV/atom: 0.627
# Total magnetization in μB per formula unit: 0.132
# Uncorrected energy in eV/cell: -52.09



# UNbV GGA-PBE relaxed
data_UNbV
_chemical_formula_sum 'U2 Nb2 V2'
_cell_length_a 2.7009
_cell_length_b 2.7009
_cell_length_c 14.5309
_cell_angle_alpha 90.00
_cell_angle_beta 90.00
_cell_angle_gamma 90.00
_symmetry_space_group_name_H-M 'I 4 m m'
_symmetry_Int_Tables_number 107
_symmetry_space_group_name_Hall 'I 4 -2'
loop_
_atom_site_label
_atom_site_type_symbol
_atom_site_fract_x
_atom_site_fract_y
_atom_site_fract_z
U1 U 0.0000 0.0000 0.0000
Nb1 Nb 0.0000 0.0000 0.6803
V1 V 0.0000 0.0000 0.3376
# Volume in Å³ per cell: 106.00
# Energy above the lowest structure with this stoichiometry in meV per atom: 75.0
# Formation energy in eV/atom: 0.269
# Total magnetization in μB per formula unit: 0.204
# Uncorrected energy in eV/cell: -59.34



# KLa2Pb GGA-PBE relaxed
data_KLa2Pb
_chemical_formula_sum 'K1 La2 Pb1'
_cell_length_a 3.8761
_cell_length_b 4.6515
_cell_length_c 8.7535
_cell_angle_alpha 90.00
_cell_angle_beta 90.00
_cell_angle_gamma 90.00
_symmetry_space_group_name_H-M 'P m m 2'
_symmetry_Int_Tables_number 25
loop_
_symmetry_equiv_pos_as_xyz
'x,y,z'
'-x,-y,z'
'-x,y,z'
'x,-y,z'
loop_
_atom_site_label
_atom_site_type_symbol
_atom_site_fract_x
_atom_site_fract_y
_atom_site_fract_z
K1 K 0.0000 0.0000 0.0000
La1 La 0.0000 0.0000 0.5569
La2 La 0.5000 0.5000 0.3566
Pb1 Pb 0.5000 0.5000 0.7399
# Volume in Å³ per cell: 157.82
# Formation energy in eV/atom: -0.079
# Total magnetization in μB per formula unit: 0.002
# Uncorrected energy in eV/cell: -14.98



# GaRhN2F GGA-PBE relaxed
data_GaRhN2F
_chemical_formula_sum 'Ga1 Rh1 N2 F1'
_cell_length_a 3.7718
_cell_length_b 3.7718
_cell_length_c 5.2044
_cell_angle_alpha 90.00
_cell_angle_beta 90.00
_cell_angle_gamma 90.00
_symmetry_space_group_name_H-M 'P 4/m m m'
_symmetry_Int_Tables_number 123
_symmetry_space_group_name_Hall '-P 4 2'
loop_
_atom_site_label
_atom_site_type_symbol
_atom_site_fract_x
_atom_site_fract_y
_atom_site_fract_z
Ga1 Ga 0.0000 0.0000 0.0000
Rh1 Rh 0.5000 0.5000 0.5000
N1 N 0.0000 0.5000 0.5000
F1 F 0.5000 0.5000 0.0000
# Volume in Å³ per cell: 74.04
# Uncorrected formation energy in kJ/mol of formula units: 227.1
# Energy above the lowest structure with this stoichiometry in meV per atom: 0.0
# Total magnetization in μB per formula unit: 0.000
# Uncorrected energy in eV/cell: -26.55